Entry 1:
First-principles (PBE-GGA) data for Tb5Y7Er after structural relaxation, as listed in Alexandria.

a = 8.709 Å, b = 8.709 Å, c = 8.709 Å
α = 134.88°, β = 100.44°, γ = 96.50°
Atoms (fractional coordinates):
Tb: 0.000 0.000 0.000
Tb: 0.276 0.233 0.503
Tb: 0.276 0.773 0.043
Tb: 0.730 0.233 0.957
Tb: 0.730 0.773 0.497
Y: 0.008 0.508 0.500
Y: 0.084 0.253 0.831
Y: 0.421 0.253 0.169
Y: 0.504 0.504 0.000
Y: 0.579 0.752 0.827
Y: 0.697 0.197 0.500
Y: 0.924 0.752 0.173
Er: 0.315 0.815 0.500

Values from the calculation:
The value obtained for the total energy is -69.76 eV/cell. As for the symmetry: Imm2, No. 44.

---

Entry 2:
First-principles (PBE-GGA) data for Tb4Y10Er after structural relaxation, as listed in Alexandria.

a = 9.432 Å, b = 9.432 Å, c = 9.432 Å
α = 99.59°, β = 99.59°, γ = 131.83°
Atoms (fractional coordinates):
Tb: 0.101 0.701 0.801
Tb: 0.299 0.101 0.400
Tb: 0.701 0.899 0.600
Tb: 0.899 0.299 0.199
Y: 0.051 0.350 0.899
Y: 0.152 0.051 0.701
Y: 0.250 0.750 0.500
Y: 0.350 0.451 0.299
Y: 0.451 0.152 0.101
Y: 0.549 0.848 0.899
Y: 0.650 0.549 0.701
Y: 0.750 0.250 0.500
Y: 0.848 0.949 0.299
Y: 0.949 0.650 0.101
Er: 0.500 0.500 0.000

Values from the calculation:
The value obtained for the total energy is -76.67 eV/cell. As for the symmetry: I4/m, No. 87.

---

Entry 3:
First-principles (PBE-GGA) data for Tb4Y2Er3 after structural relaxation, as listed in Alexandria.

a = 9.916 Å, b = 9.916 Å, c = 6.128 Å
α = 94.75°, β = 94.75°, γ = 71.37°
Atoms (fractional coordinates):
Tb: 0.095 0.812 0.987
Tb: 0.142 0.430 0.155
Tb: 0.188 0.905 0.513
Tb: 0.430 0.142 0.655
Tb: 0.570 0.858 0.345
Tb: 0.812 0.095 0.487
Tb: 0.858 0.570 0.845
Tb: 0.905 0.188 0.013
Y: 0.239 0.520 0.681
Y: 0.480 0.761 0.819
Y: 0.520 0.239 0.181
Y: 0.761 0.480 0.319
Er: 0.070 0.263 0.582
Er: 0.263 0.070 0.082
Er: 0.401 0.599 0.250
Er: 0.599 0.401 0.750
Er: 0.737 0.930 0.918
Er: 0.930 0.737 0.418

Values from the calculation:
The value obtained for the total energy is -88.54 eV/cell. As for the symmetry: C2/c, No. 15.

---

Entry 4:
First-principles (PBE-GGA) data for Tb4Y3Er3 after structural relaxation, as listed in Alexandria.

a = 3.744 Å, b = 9.243 Å, c = 9.243 Å
α = 90.00°, β = 90.00°, γ = 90.00°
Atoms (fractional coordinates):
Tb: 0.000 0.000 0.000
Tb: 0.000 0.258 0.258
Tb: 0.000 0.503 0.759
Tb: 0.000 0.759 0.503
Y: 0.500 0.300 0.959
Y: 0.500 0.460 0.460
Y: 0.500 0.959 0.300
Er: 0.000 0.129 0.630
Er: 0.000 0.630 0.129
Er: 0.500 0.800 0.800

Values from the calculation:
The value obtained for the total energy is -50.64 eV/cell. As for the symmetry: Amm2, No. 38.

---

Entry 5:
First-principles (PBE-GGA) data for Tb7Y2Er4 after structural relaxation, as listed in Alexandria.

a = 6.073 Å, b = 6.073 Å, c = 13.141 Å
α = 90.00°, β = 90.00°, γ = 120.00°
Atoms (fractional coordinates):
Tb: 0.000 0.000 0.000
Tb: 0.000 0.360 0.219
Tb: 0.000 0.640 0.781
Tb: 0.360 0.000 0.219
Tb: 0.360 0.360 0.781
Tb: 0.640 0.000 0.781
Tb: 0.640 0.640 0.219
Y: 0.333 0.667 0.000
Y: 0.667 0.333 0.000
Er: 0.000 0.000 0.394
Er: 0.000 0.000 0.606
Er: 0.333 0.667 0.500
Er: 0.667 0.333 0.500

Values from the calculation:
The value obtained for the total energy is -61.26 eV/cell. As for the symmetry: P-31m, No. 162.

---

Entry 6:
First-principles (PBE-GGA) data for Tb8Y6Er after structural relaxation, as listed in Alexandria.

a = 8.635 Å, b = 8.635 Å, c = 8.635 Å
α = 63.26°, β = 63.26°, γ = 63.26°
Atoms (fractional coordinates):
Tb: 0.077 0.077 0.077
Tb: 0.220 0.247 0.611
Tb: 0.247 0.611 0.220
Tb: 0.389 0.780 0.753
Tb: 0.611 0.220 0.247
Tb: 0.753 0.389 0.780
Tb: 0.780 0.753 0.389
Tb: 0.923 0.923 0.923
Y: 0.040 0.735 0.604
Y: 0.265 0.396 0.960
Y: 0.396 0.960 0.265
Y: 0.604 0.040 0.735
Y: 0.735 0.604 0.040
Y: 0.960 0.265 0.396
Er: 0.500 0.500 0.500

Values from the calculation:
The value obtained for the total energy is -78.60 eV/cell. As for the symmetry: R-3, No. 148.

---

Entry 7:
First-principles (PBE-GGA) data for Tb2Y3Er3 after structural relaxation, as listed in Alexandria.

a = 6.426 Å, b = 6.426 Å, c = 6.426 Å
α = 95.42°, β = 95.42°, γ = 95.42°
Atoms (fractional coordinates):
Tb: 0.193 0.193 0.193
Tb: 0.807 0.807 0.807
Y: 0.214 0.500 0.786
Y: 0.500 0.786 0.214
Y: 0.786 0.214 0.500
Er: 0.000 0.688 0.312
Er: 0.312 0.000 0.688
Er: 0.688 0.312 0.000

Values from the calculation:
The value obtained for the total energy is -41.22 eV/cell. The value obtained for the energy above the most stable polymorph in this dataset is 0.0401 eV/atom. As for the symmetry: R32, No. 155.

---

Entry 8:
First-principles (PBE-GGA) data for TbY4Er2 after structural relaxation, as listed in Alexandria.

a = 8.937 Å, b = 8.937 Å, c = 8.937 Å
α = 135.83°, β = 100.57°, γ = 95.70°
Atoms (fractional coordinates):
Tb: 0.500 0.000 0.000
Tb: 0.500 0.500 0.500
Y: 0.153 0.147 0.006
Y: 0.239 0.214 0.475
Y: 0.239 0.763 0.025
Y: 0.359 0.853 0.506
Y: 0.641 0.147 0.494
Y: 0.761 0.237 0.975
Y: 0.761 0.786 0.525
Y: 0.847 0.853 0.994
Er: 0.000 0.500 0.500
Er: 0.027 0.277 0.750
Er: 0.500 0.500 0.000
Er: 0.973 0.723 0.250

Values from the calculation:
The value obtained for the total energy is -75.25 eV/cell. The value obtained for the energy above the most stable polymorph in this dataset is 0.1558 eV/atom. As for the symmetry: Imma, No. 74.

---

Entry 9:
First-principles (PBE-GGA) data for Tb5Y2Er2 after structural relaxation, as listed in Alexandria.

a = 10.099 Å, b = 10.099 Å, c = 8.579 Å
α = 101.22°, β = 101.22°, γ = 19.93°
Atoms (fractional coordinates):
Tb: 0.000 0.000 0.000
Tb: 0.055 0.055 0.668
Tb: 0.220 0.220 0.644
Tb: 0.780 0.780 0.356
Tb: 0.945 0.945 0.332
Y: 0.176 0.176 0.036
Y: 0.824 0.824 0.964
Er: 0.399 0.399 0.661
Er: 0.601 0.601 0.339

Values from the calculation:
The value obtained for the total energy is -43.98 eV/cell. The value obtained for the energy above the most stable polymorph in this dataset is 0.0000 eV/atom. As for the symmetry: C2/m, No. 12.

---

Entry 10:
First-principles (PBE-GGA) data for Tb7Y2Er3 after structural relaxation, as listed in Alexandria.

a = 11.751 Å, b = 11.206 Å, c = 6.149 Å
α = 79.42°, β = 69.62°, γ = 30.96°
Atoms (fractional coordinates):
Tb: 0.000 0.000 0.000
Tb: 0.083 0.083 0.417
Tb: 0.250 0.250 0.250
Tb: 0.417 0.417 0.083
Tb: 0.583 0.583 0.917
Tb: 0.750 0.750 0.750
Tb: 0.917 0.917 0.583
Y: 0.333 0.333 0.667
Y: 0.667 0.667 0.333
Er: 0.166 0.166 0.834
Er: 0.500 0.500 0.500
Er: 0.834 0.834 0.166

Values from the calculation:
The value obtained for the total energy is -58.79 eV/cell. The value obtained for the energy above the most stable polymorph in this dataset is 0.0000 eV/atom. As for the symmetry: Fmmm, No. 69.

---

Entry 11:
First-principles (PBE-GGA) data for TbY6Er8 after structural relaxation, as listed in Alexandria.

a = 9.396 Å, b = 9.396 Å, c = 6.443 Å
α = 90.00°, β = 90.00°, γ = 120.00°
Atoms (fractional coordinates):
Tb: 0.000 0.000 0.000
Y: 0.101 0.683 0.090
Y: 0.317 0.418 0.090
Y: 0.418 0.101 0.910
Y: 0.582 0.899 0.090
Y: 0.683 0.582 0.910
Y: 0.899 0.317 0.910
Er: 0.021 0.334 0.405
Er: 0.313 0.979 0.405
Er: 0.333 0.667 0.652
Er: 0.334 0.313 0.595
Er: 0.666 0.687 0.405
Er: 0.667 0.333 0.348
Er: 0.687 0.021 0.595
Er: 0.979 0.666 0.595

Values from the calculation:
The value obtained for the total energy is -76.35 eV/cell. The value obtained for the energy above the most stable polymorph in this dataset is 0.1129 eV/atom. As for the symmetry: P-3, No. 147.

---

Entry 12:
First-principles (PBE-GGA) data for TbY6Er2 after structural relaxation, as listed in Alexandria.

a = 9.569 Å, b = 9.569 Å, c = 6.539 Å
α = 98.96°, β = 98.96°, γ = 96.00°
Atoms (fractional coordinates):
Tb: 0.120 0.880 0.750
Tb: 0.880 0.120 0.250
Y: 0.051 0.222 0.813
Y: 0.062 0.459 0.274
Y: 0.222 0.051 0.313
Y: 0.278 0.649 0.996
Y: 0.351 0.722 0.504
Y: 0.459 0.062 0.774
Y: 0.541 0.938 0.226
Y: 0.649 0.278 0.496
Y: 0.722 0.351 0.004
Y: 0.778 0.949 0.687
Y: 0.938 0.541 0.726
Y: 0.949 0.778 0.187
Er: 0.339 0.384 0.632
Er: 0.384 0.339 0.132
Er: 0.616 0.661 0.868
Er: 0.661 0.616 0.368

Values from the calculation:
The value obtained for the total energy is -103.27 eV/cell. The value obtained for the energy above the most stable polymorph in this dataset is 0.0313 eV/atom. As for the symmetry: C2/c, No. 15.

---

Number 11 is which compound?
TbY6Er8